An optimized crystal structure of KTaCdCo2. Source: Alexandria via LeMat-Bulk, functional PBE.

Cell and atoms, written as POSCAR:
```
KTaCdCo2
1.0
-2.404 -3.572 -1.620
4.458 -3.367 0.808
-1.478 -0.935 4.255
K Cd Co Ta
1 1 2 1
direct
0.500 0.500 0.500
0.000 0.500 0.000
0.500 0.000 0.000
0.000 0.000 0.500
0.000 0.000 0.000
```

Summary:
The formation energy from the elements comes out at 1.061 eV per atom. The calculation puts the total magnetization at 0.000 μB/f.u. Its crystal system is tetragonal.

***

An optimized crystal structure of AlGeW. Source: Alexandria via LeMat-Bulk, functional PBE.

Cell and atoms, written as POSCAR:
```
AlGeW
1.0
2.769 0.000 0.000
0.000 4.490 0.000
0.000 -2.245 3.889
Ge Al W
1 1 1
direct
0.165 0.000 0.000
0.667 0.667 0.333
0.167 0.333 0.667
```

Summary:
The formation energy from the elements comes out at 0.212 eV per atom. The calculation puts the total magnetization at 0.000 μB/f.u. For the relative energy among the computed polymorphs, the calculation gives 0.89 eV per formula unit. Its crystal system is trigonal.

***

An optimized crystal structure of KZnGaAu3. Source: Alexandria via LeMat-Bulk, functional PBE.

Cell and atoms, written as POSCAR:
```
KZnGaAu3
1.0
6.565 0.000 0.000
0.000 7.113 0.000
0.000 -3.556 6.442
K Ga Au Zn
2 2 6 2
direct
0.250 0.729 0.458
0.750 0.271 0.542
0.250 0.401 0.801
0.750 0.599 0.199
0.250 0.206 0.412
0.000 0.716 0.000
0.500 0.284 0.000
0.000 0.284 0.000
0.750 0.794 0.588
0.500 0.716 0.000
0.750 0.994 0.988
0.250 0.006 0.012
```

Summary:
The formation energy from the elements comes out at -0.218 eV per atom. The calculation puts the total magnetization at 0.000 μB/f.u. Its crystal system is orthorhombic.

***

An optimized crystal structure of MnAs4P. Source: Alexandria via LeMat-Bulk, functional PBE.

Cell and atoms, written as POSCAR:
```
MnAs4P
1.0
0.000 3.880 3.880
3.880 0.000 3.880
3.880 3.880 0.000
As P Mn
4 1 1
direct
0.625 0.125 0.625
0.625 0.625 0.625
0.625 0.625 0.125
0.125 0.625 0.625
0.000 0.000 0.000
0.250 0.250 0.250
```

Summary:
The formation energy from the elements comes out at 0.706 eV per atom. The calculation puts the total magnetization at 4.279 μB/f.u. Its crystal system is cubic.

***

An optimized crystal structure of LiPmErSn. Source: Alexandria via LeMat-Bulk, functional PBE.

Cell and atoms, written as POSCAR:
```
LiPmErSn
1.0
-0.465 -5.238 0.096
1.430 -2.688 4.288
-3.658 -2.260 3.028
Sn Li Pm Er
1 1 1 1
direct
0.250 0.250 0.250
0.750 0.750 0.750
0.500 0.500 0.500
0.000 0.000 0.000
```

Summary:
The formation energy from the elements comes out at -0.416 eV per atom. The calculation puts the total magnetization at 0.000 μB/f.u. Its crystal system is cubic.

***

An optimized crystal structure of NaGa5Au2. Source: Alexandria via LeMat-Bulk, functional PBE.

Cell and atoms, written as POSCAR:
```
NaGa5Au2
1.0
3.844 0.000 0.000
1.922 6.521 -0.195
1.922 1.776 6.278
Ga Au Na
5 2 1
direct
0.000 0.500 0.500
0.362 0.436 0.840
0.638 0.564 0.160
0.362 0.840 0.436
0.638 0.160 0.564
0.259 0.241 0.241
0.741 0.759 0.759
0.000 0.000 0.000
```

Summary:
The formation energy from the elements comes out at -0.198 eV per atom. The calculation puts the total magnetization at 0.000 μB/f.u. Its crystal system is orthorhombic.